Record 1
Density functional theory data (GGA-PBE) for a geometry-optimized PaZnSn structure.

Cell and atoms, written as POSCAR:
```
PaZnSn
1.0
3.040 0.000 0.000
0.000 3.040 0.000
-1.520 -1.520 8.252
Pa Sn Zn
1 1 1
Cartesian
0.000 0.000 2.081 Pa
1.520 1.520 4.594 Sn
1.520 1.520 7.353 Zn
```

Calculated values
- Mass density: 9.040 g/cm3
- D(E_F): 1.46 states/eV per atom
- ΔE_f: 288 meV/atom

Record 2
Density functional theory data (GGA-PBE) for a geometry-optimized PaZn17Sn structure.

Cell and atoms, written as POSCAR:
```
PaZn17Sn
1.0
6.795 0.041 0.847
0.753 6.754 0.847
0.045 0.041 6.848
Zn Sn Pa
17 1 1
Cartesian
1.564 4.437 5.148 Zn
4.187 6.720 8.012 Zn
2.038 0.045 4.988 Zn
4.715 0.045 2.608 Zn
0.258 2.022 4.988 Zn
2.666 2.400 6.426 Zn
3.023 5.785 3.401 Zn
0.539 4.684 2.608 Zn
7.466 6.720 5.097 Zn
4.577 1.090 5.148 Zn
7.122 3.459 8.012 Zn
6.817 6.136 7.669 Zn
0.753 0.678 0.847 Zn
4.930 4.437 2.157 Zn
4.924 2.022 0.841 Zn
2.527 4.684 0.841 Zn
6.070 2.400 3.401 Zn
2.963 2.667 3.333 Sn
5.007 4.507 5.633 Pa
```

Calculated values
- Mass density: 7.740 g/cm3
- D(E_F): 0.51 states/eV per atom
- ΔE_f: -35 meV/atom

Please write out number 1 again, unchanged.
Density functional theory data (GGA-PBE) for a geometry-optimized PaZnSn structure.

Cell and atoms, written as POSCAR:
```
PaZnSn
1.0
3.040 0.000 0.000
0.000 3.040 0.000
-1.520 -1.520 8.252
Pa Sn Zn
1 1 1
Cartesian
0.000 0.000 2.081 Pa
1.520 1.520 4.594 Sn
1.520 1.520 7.353 Zn
```

Calculated values
- Mass density: 9.040 g/cm3
- D(E_F): 1.46 states/eV per atom
- ΔE_f: 288 meV/atom